No. 1
Below is an optimized crystal structure of Ho2Zn3Si, with properties calculated at the PBE level.

Lattice parameters (Å, degrees): 3.622 4.326 7.493 90.00 90.00 90.00
Sites, in units of the cell vectors:
Ho1 0.000 0.000 0.000
Ho2 0.000 0.500 0.482
Zn1 0.500 0.000 0.660
Zn2 0.500 0.500 0.155
Zn3 0.500 0.500 0.821
Si1 0.500 0.000 0.328

Results
* raw formation energy: -0.48 eV/atom
* space-group type: Pmm2

No. 2
Below is an optimized crystal structure of Sr2Cd3Ga, with properties calculated at the PBE level.

Lattice parameters (Å, degrees): 6.331 6.331 8.026 128.82 128.82 46.01
Sites, in units of the cell vectors:
Sr1 0.000 0.000 0.000
Sr2 0.089 0.089 0.584
Cd1 0.379 0.379 0.192
Cd2 0.694 0.694 0.985
Cd3 0.717 0.717 0.411
Ga1 0.379 0.379 0.569

Results
* space-group type: Cm
* formation enthalpy at 0 K: -0.3732 eV per atom

No. 3
Below is an optimized crystal structure of CsTl4Sb, with properties calculated at the PBE level.

Lattice parameters (Å, degrees): 10.787 4.501 9.466 90.00 90.00 90.00
Sites, in units of the cell vectors:
Cs1 0.250 0.000 0.124
Cs2 0.750 0.000 0.876
Tl1 0.000 0.000 0.500
Tl2 0.048 0.500 0.788
Tl3 0.250 0.500 0.469
Tl4 0.452 0.500 0.788
Tl5 0.500 0.000 0.500
Tl6 0.548 0.500 0.212
Tl7 0.750 0.500 0.531
Tl8 0.952 0.500 0.212
Sb1 0.250 0.000 0.723
Sb2 0.750 0.000 0.277

Results
* raw formation energy: -0.12 eV/atom
* space-group type: Pmma